1.
The following is a PBE-GGA calculation of an optimized crystal structure of Re2SiAsRu, from the Alexandria database.

The structure in POSCAR format:
```
Re2SiAsRu
1.0
4.422 0.000 0.000
0.000 4.524 0.000
0.000 0.000 4.422
As Si Re Ru
1 1 2 1
direct
0.000 0.500 0.000 As
0.000 0.000 0.000 Si
0.000 0.000 0.500 Re
0.500 0.000 0.000 Re
0.500 0.500 0.500 Ru
```

Summary:
Crystal system: tetragonal
Formation energy without anion corrections in kJ/mol of formula units: 788
E in eV/atom: -7.215

***

2.
The following is a PBE-GGA calculation of an optimized crystal structure of NdSc2Ir2, from the Alexandria database.

The structure in POSCAR format:
```
NdSc2Ir2
1.0
4.020 0.000 -1.502
-0.561 3.981 -1.502
0.197 0.226 6.658
Ir Sc Nd
2 2 1
direct
0.611 0.611 0.221 Ir
0.389 0.389 0.779 Ir
0.750 0.250 0.500 Sc
0.250 0.750 0.500 Sc
0.000 0.000 0.000 Nd
```

Summary:
Formation enthalpy at 0 K in eV per atom: -0.786
Crystal system: tetragonal
E in eV/atom: -7.817

***

3.
The following is a PBE-GGA calculation of an optimized crystal structure of La3Nd8Ho2, from the Alexandria database.

The structure in POSCAR format:
```
La3Nd8Ho2
1.0
11.989 0.190 0.040
-5.888 6.323 0.100
-0.005 -0.259 12.039
La Nd Ho
6 16 4
direct
0.500 0.000 0.500 La
0.896 0.221 0.218 La
0.605 0.780 0.718 La
0.395 0.220 0.282 La
0.000 0.000 0.000 La
0.104 0.779 0.782 La
0.629 0.747 0.060 Nd
0.871 0.255 0.563 Nd
0.031 0.094 0.707 Nd
0.249 0.397 0.163 Nd
0.884 0.265 0.896 Nd
0.751 0.603 0.837 Nd
0.748 0.395 0.338 Nd
0.616 0.734 0.395 Nd
0.129 0.745 0.437 Nd
0.470 0.910 0.204 Nd
0.371 0.253 0.940 Nd
0.969 0.906 0.293 Nd
0.530 0.090 0.796 Nd
0.384 0.266 0.605 Nd
0.116 0.735 0.104 Nd
0.252 0.605 0.662 Nd
0.795 0.607 0.571 Ho
0.293 0.600 0.928 Ho
0.205 0.393 0.429 Ho
0.707 0.400 0.072 Ho
```

Summary:
Formation enthalpy at 0 K in eV per atom: 0.148
Excess energy over the best structure of this formula in the dataset in meV per atom: 0
Crystal system: triclinic
E in eV/atom: -4.627

***

4.
The following is a PBE-GGA calculation of an optimized crystal structure of SmTmCo, from the Alexandria database.

The structure in POSCAR format:
```
SmTmCo
1.0
-2.054 2.390 1.209
-1.017 -2.105 2.435
6.186 1.954 1.934
Tm Co Sm
1 1 1
direct
0.293 0.293 0.585 Tm
0.671 0.671 0.343 Co
0.036 0.036 0.072 Sm
```

Summary:
Formation enthalpy at 0 K in eV per atom: -0.091
Excess energy over the best structure of this formula in the dataset in meV per atom: 59
Crystal system: tetragonal
E in eV/atom: -5.523

***

5.
The following is a PBE-GGA calculation of an optimized crystal structure of RbScBe2Pb, from the Alexandria database.

The structure in POSCAR format:
```
RbScBe2Pb
1.0
4.841 0.000 0.000
0.000 6.251 0.000
0.000 0.000 4.841
Be Rb Sc Pb
2 1 1 1
direct
0.000 0.000 0.500 Be
0.500 0.000 0.000 Be
0.000 0.500 0.000 Rb
0.500 0.500 0.500 Sc
0.000 0.000 0.000 Pb
```

Summary:
Formation enthalpy at 0 K in eV per atom: 1.333
Crystal system: tetragonal
E in eV/atom: -2.358

***

6.
The following is a PBE-GGA calculation of an optimized crystal structure of Li2AgF, from the Alexandria database.

The structure in POSCAR format:
```
Li2AgF
1.0
0.000 3.134 3.134
3.134 0.000 3.134
3.134 3.134 0.000
Ag Li F
1 2 1
direct
0.500 0.500 0.500 Ag
0.750 0.750 0.750 Li
0.250 0.250 0.250 Li
0.000 0.000 0.000 F
```

Summary:
Excess energy over the best structure of this formula in the dataset in meV per atom: 614
Crystal system: cubic
Formation energy without anion corrections in kJ/mol of formula units: -339
E in eV/atom: -3.017

***

7.
The following is a PBE-GGA calculation of an optimized crystal structure of Tb3Tl3GaSe8, from the Alexandria database.

The structure in POSCAR format:
```
Tb3Tl3GaSe8
1.0
-6.867 0.346 -4.578
4.951 -6.595 -0.471
-4.928 0.928 7.478
Se Tl Tb Ga
8 3 3 1
direct
0.221 0.976 0.697 Se
0.245 0.024 0.303 Se
0.779 0.024 0.303 Se
0.737 0.473 0.710 Se
0.779 0.558 0.303 Se
0.755 0.976 0.697 Se
0.221 0.442 0.697 Se
0.263 0.527 0.290 Se
0.000 0.000 0.000 Tl
0.500 0.500 0.000 Tl
0.000 0.500 0.000 Tl
0.500 0.500 0.500 Tb
0.500 0.000 0.500 Tb
0.000 0.500 0.500 Tb
0.000 0.000 0.500 Ga
```

Summary:
Crystal system: monoclinic
Formation energy without anion corrections in kJ/mol of formula units: -1609
E in eV/atom: -4.571

***

8.
The following is a PBE-GGA calculation of an optimized crystal structure of CeScPt2, from the Alexandria database.

The structure in POSCAR format:
```
CeScPt2
1.0
4.059 0.000 0.000
2.030 3.515 0.000
2.030 1.172 6.259
Ce Pt Sc
1 2 1
direct
0.500 0.500 0.500 Ce
0.259 0.259 0.223 Pt
0.741 0.741 0.777 Pt
0.000 0.000 0.000 Sc
```

Summary:
Formation enthalpy at 0 K in eV per atom: -1.048
Crystal system: trigonal
E in eV/atom: -7.134

***

9.
The following is a PBE-GGA calculation of an optimized crystal structure of LiGa2Si, from the Alexandria database.

The structure in POSCAR format:
```
LiGa2Si
1.0
-3.290 2.174 1.150
-3.663 -1.831 0.316
-1.358 -0.976 5.296
Ga Li Si
2 1 1
direct
0.261 0.261 0.218 Ga
0.073 0.073 0.781 Ga
0.492 0.492 0.524 Li
0.674 0.674 0.978 Si
```

Summary:
Crystal system: trigonal
Formation energy without anion corrections in kJ/mol of formula units: -12
E in eV/atom: -3.380

***

10.
The following is a PBE-GGA calculation of an optimized crystal structure of CsAgAuBr6, from the Alexandria database.

The structure in POSCAR format:
```
CsAgAuBr6
1.0
6.785 -0.916 -0.946
3.113 8.375 -0.010
-1.050 0.968 6.586
Br Cs Ag Au
6 1 1 1
direct
0.585 0.892 0.208 Br
0.992 0.332 0.305 Br
0.674 0.409 0.743 Br
0.018 0.678 0.702 Br
0.385 0.139 0.798 Br
0.337 0.564 0.240 Br
0.993 0.989 0.018 Cs
0.679 0.638 0.460 Ag
0.337 0.360 0.525 Au
```

Summary:
Crystal system: triclinic
Formation energy without anion corrections in kJ/mol of formula units: -467
E in eV/atom: -2.429

***

11.
The following is a PBE-GGA calculation of an optimized crystal structure of Mn3Ir5, from the Alexandria database.

The structure in POSCAR format:
```
Mn3Ir5
1.0
-4.669 0.180 -5.731
-6.760 -3.071 0.371
-1.912 4.413 1.696
Ir Mn
10 6
direct
0.100 0.984 0.250 Ir
0.024 0.281 0.750 Ir
0.311 0.347 0.500 Ir
0.317 0.857 0.750 Ir
0.683 0.143 0.250 Ir
0.311 0.347 0.000 Ir
0.690 0.653 0.500 Ir
0.976 0.719 0.250 Ir
0.690 0.653 0.000 Ir
0.900 0.016 0.750 Ir
0.403 0.599 0.250 Mn
0.569 0.008 0.750 Mn
0.431 0.992 0.250 Mn
0.001 0.645 0.750 Mn
0.597 0.401 0.750 Mn
0.999 0.355 0.250 Mn
```

Summary:
Formation enthalpy at 0 K in eV per atom: 0.163
Crystal system: monoclinic
E in eV/atom: -8.814

***

12.
The following is a PBE-GGA calculation of an optimized crystal structure of Si2AgRh, from the Alexandria database.

The structure in POSCAR format:
```
Si2AgRh
1.0
4.916 0.002 0.005
-2.521 4.461 0.007
-0.127 0.977 2.796
Rh Si Ag
1 2 1
direct
0.500 0.500 0.000 Rh
0.500 0.000 0.500 Si
0.000 0.000 0.000 Si
0.000 0.500 0.500 Ag
```

Summary:
Excess energy over the best structure of this formula in the dataset in meV per atom: 283
Crystal system: monoclinic
Formation energy without anion corrections in kJ/mol of formula units: 44
E in eV/atom: -5.148

***

13.
The following is a PBE-GGA calculation of an optimized crystal structure of ZrCdRu4, from the Alexandria database.

The structure in POSCAR format:
```
ZrCdRu4
1.0
4.656 -1.850 1.396
0.414 -4.809 1.937
2.257 -3.750 -2.810
Zr Ru Cd
1 4 1
direct
0.250 0.250 0.250 Zr
0.124 0.625 0.625 Ru
0.625 0.625 0.124 Ru
0.625 0.124 0.625 Ru
0.625 0.625 0.625 Ru
0.000 0.000 0.000 Cd
```

Summary:
Formation enthalpy at 0 K in eV per atom: -0.017
Crystal system: cubic
E in eV/atom: -7.778

***

14.
The following is a PBE-GGA calculation of an optimized crystal structure of HoTl2SeO6, from the Alexandria database.

The structure in POSCAR format:
```
HoTl2SeO6
1.0
-3.108 -4.415 -1.949
3.334 -0.109 -5.069
1.678 -3.302 4.807
Se O Ho Tl
1 6 1 2
direct
0.000 0.000 0.000 Se
0.806 0.720 0.860 O
0.806 0.140 0.280 O
0.806 0.140 0.860 O
0.194 0.860 0.720 O
0.194 0.280 0.140 O
0.194 0.860 0.140 O
0.500 0.000 0.000 Ho
0.917 0.667 0.333 Tl
0.083 0.333 0.667 Tl
```

Summary:
Crystal system: trigonal
Formation energy without anion corrections in kJ/mol of formula units: -1145
E in eV/atom: -5.441

***

15.
The following is a PBE-GGA calculation of an optimized crystal structure of ZnSbCl3, from the Alexandria database.

The structure in POSCAR format:
```
ZnSbCl3
1.0
-4.000 -2.156 2.793
2.964 -4.344 0.891
1.915 2.220 4.456
Cl Sb Zn
3 1 1
direct
0.000 0.500 0.000 Cl
0.000 0.000 0.500 Cl
0.500 0.000 0.000 Cl
0.000 0.000 0.000 Sb
0.500 0.500 0.500 Zn
```

Summary:
Excess energy over the best structure of this formula in the dataset in meV per atom: 0
Crystal system: cubic
Formation energy without anion corrections in kJ/mol of formula units: -184
E in eV/atom: -2.568

***

16.
The following is a PBE-GGA calculation of an optimized crystal structure of Nd9Tl3O2, from the Alexandria database.

The structure in POSCAR format:
```
Nd9Tl3O2
1.0
-0.506 -1.229 6.981
-5.745 -0.604 -4.140
1.853 -8.406 -1.346
Nd O Tl
9 2 3
direct
0.000 0.500 0.000 Nd
0.662 0.831 0.669 Nd
0.500 0.500 0.000 Nd
0.831 0.662 0.331 Nd
0.169 0.831 0.669 Nd
0.831 0.169 0.331 Nd
0.338 0.169 0.331 Nd
0.500 0.000 0.000 Nd
0.169 0.338 0.669 Nd
0.333 0.667 0.841 O
0.667 0.333 0.159 O
0.667 0.333 0.667 Tl
0.000 0.000 0.000 Tl
0.333 0.667 0.333 Tl
```

Summary:
Crystal system: trigonal
Formation energy without anion corrections in kJ/mol of formula units: -1314
E in eV/atom: -5.253

***

17.
The following is a PBE-GGA calculation of an optimized crystal structure of KInHgBi, from the Alexandria database.

The structure in POSCAR format:
```
KInHgBi
1.0
-2.366 3.353 -3.845
-4.991 -1.345 -2.215
-4.564 3.008 1.320
In K Bi Hg
1 1 1 1
direct
0.500 0.500 0.500 In
0.250 0.250 0.250 K
0.750 0.750 0.750 Bi
0.000 0.000 0.000 Hg
```

Summary:
Formation enthalpy at 0 K in eV per atom: -0.140
Excess energy over the best structure of this formula in the dataset in meV per atom: 0
Crystal system: cubic
E in eV/atom: -2.145

***

18.
The following is a PBE-GGA calculation of an optimized crystal structure of Sm2ErZn2Ga2, from the Alexandria database.

The structure in POSCAR format:
```
Sm2ErZn2Ga2
1.0
4.439 0.000 0.000
2.219 3.844 0.000
2.219 1.281 9.397
Zn Ga Sm Er
2 2 2 1
direct
0.392 0.392 0.824 Zn
0.608 0.608 0.176 Zn
0.269 0.269 0.194 Ga
0.731 0.731 0.806 Ga
0.125 0.125 0.626 Sm
0.875 0.875 0.374 Sm
0.000 0.000 0.000 Er
```

Summary:
Formation enthalpy at 0 K in eV per atom: -0.402
Crystal system: trigonal
E in eV/atom: -3.631

***

19.
The following is a PBE-GGA calculation of an optimized crystal structure of RbScNb2, from the Alexandria database.

The structure in POSCAR format:
```
RbScNb2
1.0
0.000 3.653 3.653
3.653 0.000 3.653
3.653 3.653 0.000
Sc Nb Rb
1 2 1
direct
0.000 0.000 0.000 Sc
0.750 0.750 0.750 Nb
0.250 0.250 0.250 Nb
0.500 0.500 0.500 Rb
```

Summary:
Formation enthalpy at 0 K in eV per atom: 1.615
Excess energy over the best structure of this formula in the dataset in meV per atom: 115
Crystal system: cubic
E in eV/atom: -5.244

***

20.
The following is a PBE-GGA calculation of an optimized crystal structure of LiTe2Cl, from the Alexandria database.

The structure in POSCAR format:
```
LiTe2Cl
1.0
1.963 0.000 10.392
-0.981 1.700 10.392
-0.981 -1.700 10.392
Te Cl Li
2 1 1
direct
0.913 0.913 0.913 Te
0.087 0.087 0.087 Te
0.500 0.500 0.500 Cl
0.000 0.000 0.000 Li
```

Summary:
Excess energy over the best structure of this formula in the dataset in meV per atom: 763
Crystal system: trigonal
Formation energy without anion corrections in kJ/mol of formula units: 17
E in eV/atom: -2.466